Entry 1:
Material: Ba2ZrPtSe6
Method: DFT, GGA-PBE
State: relaxed

Structure (CIF):
```
data_Ba2ZrPtSe6
_cell_length_a 12.555
_cell_length_b 7.142
_cell_length_c 7.513
_cell_angle_alpha 90.00
_cell_angle_beta 126.05
_cell_angle_gamma 90.00
_space_group_name_H-M_alt 'C 1 2/m 1'
_space_group_IT_number 12
loop_
_space_group_symop_operation_xyz
'x,y,z'
'-x,-y,-z'
'-x,y,-z'
'x,-y,z'
'x+1/2,y+1/2,z'
'-x+1/2,-y+1/2,-z'
'-x+1/2,y+1/2,-z'
'x+1/2,-y+1/2,z'
loop_
_atom_site_label
_atom_site_type_symbol
_atom_site_fract_x
_atom_site_fract_y
_atom_site_fract_z
Ba1 Ba 0.247 0.000 0.245
Zr1 Zr 0.000 0.000 0.500
Pt1 Pt 0.000 0.500 0.000
Se1 Se 0.045 0.256 0.801
Se2 Se 0.244 0.500 0.319
```

Output
energy above the lowest structure with this stoichiometry = 1 kJ/mol of formula units

=====

Entry 2:
Material: Ba2ZrPtSe6
Method: DFT, GGA-PBE
State: relaxed

Structure (CIF):
```
data_Ba2ZrPtSe6
_cell_length_a 7.128
_cell_length_b 7.140
_cell_length_c 7.182
_cell_angle_alpha 63.23
_cell_angle_beta 61.97
_cell_angle_gamma 61.61
_space_group_name_H-M_alt 'P -1'
_space_group_IT_number 2
loop_
_space_group_symop_operation_xyz
'x,y,z'
'-x,-y,-z'
loop_
_atom_site_label
_atom_site_type_symbol
_atom_site_fract_x
_atom_site_fract_y
_atom_site_fract_z
Ba1 Ba 0.248 0.252 0.254
Zr1 Zr 0.000 0.000 0.000
Pt1 Pt 0.500 0.500 0.500
Se1 Se 0.200 0.778 0.313
Se2 Se 0.260 0.670 0.818
Se3 Se 0.312 0.200 0.712
```

Output
energy above the lowest structure with this stoichiometry = 0 kJ/mol of formula units

=====

Entry 3:
Material: Ba2ZrPtSe6
Method: DFT, GGA-PBE
State: relaxed

Structure (CIF):
```
data_Ba2ZrPtSe6
_cell_length_a 7.106
_cell_length_b 7.106
_cell_length_c 10.740
_cell_angle_alpha 90.00
_cell_angle_beta 90.00
_cell_angle_gamma 90.00
_space_group_name_H-M_alt 'I 4/m'
_space_group_IT_number 87
_space_group_name_Hall '-I 4'
loop_
_atom_site_label
_atom_site_type_symbol
_atom_site_fract_x
_atom_site_fract_y
_atom_site_fract_z
Ba1 Ba 0.000 0.500 0.250
Zr1 Zr 0.000 0.000 0.000
Pt1 Pt 0.000 0.000 0.500
Se1 Se 0.000 0.000 0.258
Se2 Se 0.184 0.306 0.500
```

Output
energy above the lowest structure with this stoichiometry = 5 kJ/mol of formula units